# 1
Compound: Tm8Ge3SeS4
Source: Alexandria
Functional: PBE
Structure: optimized geometry

M_tot: 0.000 μB/f.u.
calculated volume: 22.26 Å³ per atom
ΔE_f (raw): -1.555 eV/atom
density of states at the Fermi level: 2.0 states/eV per cell

Cell lengths 7.976, 7.937, 7.976 Å; angles 120.16, 120.00, 90.00 degrees
Positions (direct):
1 Tm 0.254 0.750 0.996
2 Tm 0.254 0.750 0.507
3 Tm 0.251 0.252 0.501
4 Tm 0.742 0.750 0.996
5 Tm 0.258 0.250 0.004
6 Tm 0.749 0.748 0.499
7 Tm 0.746 0.250 0.493
8 Tm 0.746 0.250 0.004
9 Ge 0.500 0.500 0.000
10 Ge 0.500 0.500 0.500
11 Ge 0.000 0.500 0.500
12 Se 0.000 0.500 0.000
13 S 0.500 0.000 0.000
14 S 0.500 0.000 0.500
15 S 0.000 0.000 0.000
16 S 0.000 0.000 0.500


# 2
Compound: Sr2CuS2Cl2
Source: Alexandria
Functional: PBE
Structure: optimized geometry

M_tot: 0.000 μB/f.u.
energy above the most stable polymorph in this dataset: 0 meV/atom
calculated volume: 24.23 Å³ per atom
ΔE_f (raw): -1.636 eV/atom
density of states at the Fermi level: 1.3 states/eV per cell

Cell lengths 8.660, 8.660, 8.660 Å; angles 149.22, 149.22, 44.09 degrees
Positions (direct):
1 Sr 0.375 0.375 0.000
2 Sr 0.625 0.625 0.000
3 Cu 0.000 0.000 0.000
4 S 0.000 0.500 0.500
5 S 0.500 0.000 0.500
6 Cl 0.190 0.190 0.000
7 Cl 0.810 0.810 0.000


Q: Look up the M_tot of the second one.
A: 0.000 μB/f.u.